Record 1
First-principles (PBE) data for K2LaHgMo after structural relaxation, as listed in the Alexandria database.

Cell lengths 6.6438, 6.6438, 5.1002 Å; angles 90.00, 90.00, 90.00 degrees
Space group P4/mmm (No. 123)
One atom of each set of equivalent atoms:
K  0.0000  0.5000  0.0000 [2 per cell]
La  0.0000  0.0000  0.5000 [1 per cell]
Hg  0.5000  0.5000  0.5000 [1 per cell]
Mo  0.0000  0.0000  0.0000 [1 per cell]

---

Record 2
First-principles (PBE) data for KLa2HgN after structural relaxation, as listed in the Alexandria database.

Cell lengths 6.3142, 6.3142, 4.3312 Å; angles 90.00, 90.00, 90.00 degrees
Space group P4/mmm (No. 123)
One atom of each set of equivalent atoms:
K  0.0000  0.0000  0.0000 [1 per cell]
La  0.0000  0.5000  0.5000 [2 per cell]
Hg  0.5000  0.5000  0.5000 [1 per cell]
N  0.5000  0.5000  0.0000 [1 per cell]

---

Record 3
First-principles (PBE) data for KLaHgPb after structural relaxation, as listed in the Alexandria database.

Cell lengths 8.0463, 8.0463, 8.0463 Å; angles 90.00, 90.00, 90.00 degrees
Space group F-43m (No. 216)
One atom of each set of equivalent atoms:
K  0.0000  0.0000  0.0000 [4 per cell]
La  0.0000  0.0000  0.5000 [4 per cell]
Hg  0.2500  0.2500  0.7500 [4 per cell]
Pb  0.2500  0.2500  0.2500 [4 per cell]

---

Record 4
First-principles (PBE) data for KLa2HgRu after structural relaxation, as listed in the Alexandria database.

Cell lengths 5.4233, 5.4233, 5.6957 Å; angles 90.00, 90.00, 90.00 degrees
Space group P4/mmm (No. 123)
One atom of each set of equivalent atoms:
K  0.0000  0.0000  0.0000 [1 per cell]
La  0.0000  0.5000  0.5000 [2 per cell]
Hg  0.5000  0.5000  0.0000 [1 per cell]
Ru  0.5000  0.5000  0.5000 [1 per cell]

Output
Energy above the lowest structure with this stoichiometry   0.000 eV/atom

---

Record 5
First-principles (PBE) data for KLa2HgRu after structural relaxation, as listed in the Alexandria database.

Cell lengths 5.9608, 5.9608, 5.1777 Å; angles 90.00, 90.00, 90.00 degrees
Space group P4/mmm (No. 123)
One atom of each set of equivalent atoms:
K  0.0000  0.0000  0.0000 [1 per cell]
La  0.0000  0.5000  0.5000 [2 per cell]
Hg  0.5000  0.5000  0.5000 [1 per cell]
Ru  0.5000  0.5000  0.0000 [1 per cell]

Output
Energy above the lowest structure with this stoichiometry   0.806 eV/atom

---

Record 6
First-principles (PBE) data for KLa2HgS4 after structural relaxation, as listed in the Alexandria database.

Cell lengths 4.3143, 14.1708, 14.7462 Å; angles 90.00, 90.00, 90.00 degrees
Space group Cmcm (No. 63)
One atom of each set of equivalent atoms:
K  0.0000  0.1205  0.2500 [4 per cell]
La  0.0000  0.3725  0.0595 [8 per cell]
Hg  0.0000  0.1537  0.7500 [4 per cell]
S  0.0000  0.0000  0.0000 [4 per cell]
S  0.0000  0.2642  0.6048 [8 per cell]
S  0.0000  0.4496  0.2500 [4 per cell]

---

Record 7
First-principles (PBE) data for KLaHgSb after structural relaxation, as listed in the Alexandria database.

Cell lengths 7.9655, 7.9655, 7.9655 Å; angles 90.00, 90.00, 90.00 degrees
Space group F-43m (No. 216)
One atom of each set of equivalent atoms:
K  0.0000  0.0000  0.0000 [4 per cell]
La  0.0000  0.0000  0.5000 [4 per cell]
Hg  0.2500  0.2500  0.7500 [4 per cell]
Sb  0.2500  0.2500  0.2500 [4 per cell]

---

Record 8
First-principles (PBE) data for KLaHgSe3 after structural relaxation, as listed in the Alexandria database.

Cell lengths 9.0206, 4.4200, 10.3339 Å; angles 90.00, 104.43, 90.00 degrees
Space group P2_1/m (No. 11)
One atom of each set of equivalent atoms:
K  0.2088  0.2500  0.2338 [2 per cell]
La  0.3251  0.7500  0.8562 [2 per cell]
Hg  0.0935  0.2500  0.6115 [2 per cell]
Se  0.0934  0.2500  0.8668 [2 per cell]
Se  0.2276  0.7500  0.5334 [2 per cell]
Se  0.4529  0.7500  0.1508 [2 per cell]

---

Record 9
First-principles (PBE) data for KLa2HgTe4 after structural relaxation, as listed in the Alexandria database.

Cell lengths 4.7905, 15.4898, 16.1224 Å; angles 90.00, 90.00, 90.00 degrees
Space group Cmcm (No. 63)
One atom of each set of equivalent atoms:
K  0.0000  0.1311  0.2500 [4 per cell]
La  0.0000  0.3727  0.0624 [8 per cell]
Hg  0.0000  0.1423  0.7500 [4 per cell]
Te  0.0000  0.0000  0.0000 [4 per cell]
Te  0.0000  0.2658  0.6100 [8 per cell]
Te  0.0000  0.4590  0.2500 [4 per cell]

---

Record 10
First-principles (PBE) data for KLaY2Hg after structural relaxation, as listed in the Alexandria database.

Cell lengths 5.8780, 5.8780, 6.0997 Å; angles 90.00, 90.00, 90.00 degrees
Space group P4/mmm (No. 123)
One atom of each set of equivalent atoms:
K  0.0000  0.0000  0.0000 [1 per cell]
La  0.5000  0.5000  0.5000 [1 per cell]
Y  0.0000  0.5000  0.5000 [2 per cell]
Hg  0.5000  0.5000  0.0000 [1 per cell]

---

Record 11
First-principles (PBE) data for KLaZrHg2 after structural relaxation, as listed in the Alexandria database.

Cell lengths 6.1479, 6.1479, 5.3947 Å; angles 90.00, 90.00, 90.00 degrees
Space group P4/mmm (No. 123)
One atom of each set of equivalent atoms:
K  0.0000  0.0000  0.0000 [1 per cell]
La  0.5000  0.5000  0.5000 [1 per cell]
Zr  0.5000  0.5000  0.0000 [1 per cell]
Hg  0.0000  0.5000  0.5000 [2 per cell]

---

Record 12
First-principles (PBE) data for KLiHg3 after structural relaxation, as listed in the Alexandria database.

Cell lengths 3.6737, 29.5199, 5.0979 Å; angles 90.00, 90.00, 90.00 degrees
Space group Cmcm (No. 63)
One atom of each set of equivalent atoms:
K  0.0000  0.0828  0.2500 [4 per cell]
Li  0.0000  0.2113  0.7500 [4 per cell]
Hg  0.0000  0.3032  0.7500 [4 per cell]
Hg  0.0000  0.3629  0.2500 [4 per cell]
Hg  0.0000  0.4717  0.2500 [4 per cell]

Output
Energy above the lowest structure with this stoichiometry   0.000 eV/atom

---

Record 13
First-principles (PBE) data for K2LiHg after structural relaxation, as listed in the Alexandria database.

Cell lengths 5.1990, 4.9609, 6.9463 Å; angles 90.00, 111.90, 90.00 degrees
Space group Pm (No. 6)
One atom of each set of equivalent atoms:
K  0.0000  0.0000  0.0000 [1 per cell]
K  0.2991  0.5000  0.6014 [1 per cell]
Li  0.6923  0.0000  0.3876 [1 per cell]
Hg  0.5939  0.5000  0.1878 [1 per cell]

---

Record 14
First-principles (PBE) data for K3LiHg after structural relaxation, as listed in the Alexandria database.

Cell lengths 6.6812, 6.6812, 6.6812 Å; angles 90.00, 90.00, 90.00 degrees
Space group Pm-3m (No. 221)
One atom of each set of equivalent atoms:
K  0.0000  0.0000  0.5000 [3 per cell]
Li  0.5000  0.5000  0.5000 [1 per cell]
Hg  0.0000  0.0000  0.0000 [1 per cell]

Output
Energy above the lowest structure with this stoichiometry   0.000 eV/atom

---

Number 1: uncorrected energy -2.825 eV per atom, volume 45.0 A^3/atom, spin magnetization 1.079 μB/f.u.. Number 2: uncorrected energy -2.936 eV per atom, volume 34.5 A^3/atom, spin magnetization 0.001 μB/f.u.. Number 3: uncorrected energy -2.840 eV per atom, volume 32.6 A^3/atom, spin magnetization 0.000 μB/f.u.. Number 4: uncorrected energy -4.207 eV per atom, volume 33.5 A^3/atom, spin magnetization 0.000 μB/f.u.. Number 5: uncorrected energy -3.401 eV per atom, volume 36.8 A^3/atom, spin magnetization 0.000 μB/f.u.. Number 6: uncorrected energy -4.960 eV per atom, volume 28.2 A^3/atom, spin magnetization 0.000 μB/f.u.. Number 7: uncorrected energy -3.122 eV per atom, volume 31.6 A^3/atom, spin magnetization 0.000 μB/f.u.. Number 8: uncorrected energy -4.043 eV per atom, volume 33.3 A^3/atom, spin magnetization 0.000 μB/f.u.. Number 9: uncorrected energy -4.118 eV per atom, volume 37.4 A^3/atom, spin magnetization 0.000 μB/f.u.. Number 10: uncorrected energy -3.230 eV per atom, volume 42.1 A^3/atom, spin magnetization 0.000 μB/f.u.. Number 11: uncorrected energy -2.457 eV per atom, volume 40.8 A^3/atom, spin magnetization 0.000 μB/f.u.. Number 12: uncorrected energy -1.030 eV per atom, volume 27.6 A^3/atom, spin magnetization 0.000 μB/f.u.. Number 13: uncorrected energy -1.194 eV per atom, volume 41.6 A^3/atom, spin magnetization 0.000 μB/f.u.. Number 14: uncorrected energy -1.018 eV per atom, volume 59.6 A^3/atom, spin magnetization 0.000 μB/f.u..